1.
Compound: LiPmPt
Source: OQMD via LeMat-Bulk
Functional: PBE
Structure: relaxed

```
3
Lattice="0.000 3.318 3.318 3.318 0.000 3.318 3.318 3.318 0.000" Properties=species:S:1:pos:R:3 pbc="T T T"
Li 0.000 0.000 0.000
Pm 3.318 3.318 3.318
Pt 1.659 1.659 1.659
```

Values from the calculation:
The energy above the most stable polymorph in this dataset is 0.0 meV per atom. As for the total magnetization: 0.000 μB/atom.

2.
Compound: PaCl2O
Source: OQMD via LeMat-Bulk
Functional: PBE
Structure: relaxed

```
8
Lattice="6.571 -2.148 0.000 6.571 2.148 0.000 -2.866 0.000 7.972" Properties=species:S:1:pos:R:3 pbc="T T T"
Pa -0.711 0.000 2.003
Pa 10.987 0.000 5.969
Cl 0.300 0.009 4.618
Cl 1.714 -0.006 0.607
Cl 9.976 0.009 3.354
Cl 8.563 -0.006 7.365
O 4.427 0.001 5.940
O 5.850 0.001 2.032
```

Values from the calculation:
The calculation puts the uncorrected energy at -6.61 eV per atom. As for the total magnetization: 0.250 μB/atom.